A:
GGA-PBE RbOs, relaxed; total magnetization = 0.0 μB per cell
1.0
-0.5907 -2.7765 0.4480
1.8987 1.3542 1.6792
-8.7958 3.0757 7.4647
Os Rb
2 2
Cartesian
-1.9599 -0.6307 2.7246
-5.5280 2.2841 6.8674
0.0000 0.0000 0.0000
-4.3979 1.5379 3.7324

B:
GGA-PBE RbOs, relaxed; total magnetization = 3.0 μB per cell
1.0
0.2228 -3.7682 3.1746
-3.1567 -0.2275 3.7829
-3.5647 -3.4086 0.0357
Os Rb
1 1
Cartesian
0.0000 0.0000 0.0000
-3.2493 -3.7021 3.4966

Most stable pick: A. Distance to second place: 1337 meV per atom.